# 1
DFT (GGA-PBE) results for crystalline PH2IBr at its relaxed geometry.

Geometry as CIF:
```
data_PH2IBr
_chemical_formula_sum 'P1 H2 I1 Br1'
_cell_length_a 3.830
_cell_length_b 8.661
_cell_length_c 3.830
_cell_angle_alpha 90.00
_cell_angle_beta 90.00
_cell_angle_gamma 90.00
_symmetry_space_group_name_H-M 'P 1'
_symmetry_Int_Tables_number 1
_symmetry_space_group_name_Hall 'P 1'
loop_
_atom_site_label
_atom_site_type_symbol
_atom_site_fract_x
_atom_site_fract_y
_atom_site_fract_z
H1 H 0.000 0.000 0.500
P1 P 0.000 0.500 0.000
Br1 Br 0.000 0.000 0.000
I1 I 0.500 0.500 0.500
H2 H 0.500 0.000 0.000
```

**Symmetry**: No. 123
**Raw total energy**: -2.391 eV per atom
**Total magnetic moment**: 0.023 Bohr magnetons per cell


# 2
DFT (GGA-PBE) results for crystalline PaHIBr at its relaxed geometry.

Geometry as CIF:
```
data_PaHIBr
_chemical_formula_sum 'Pa1 H1 I1 Br1'
_cell_length_a 3.924
_cell_length_b 3.924
_cell_length_c 8.364
_cell_angle_alpha 90.06
_cell_angle_beta 103.51
_cell_angle_gamma 120.00
_symmetry_space_group_name_H-M 'P 1'
_symmetry_Int_Tables_number 1
_symmetry_space_group_name_Hall 'P 1'
loop_
_atom_site_label
_atom_site_type_symbol
_atom_site_fract_x
_atom_site_fract_y
_atom_site_fract_z
Br1 Br 0.000 0.864 0.864
I1 I 0.354 0.042 0.396
H1 H 0.503 0.616 0.120
Pa1 Pa 0.834 0.282 0.116
```

**Symmetry**: No. 8
**Raw total energy**: -4.929 eV per atom
**Total magnetic moment**: 2.003 Bohr magnetons per cell


# 3
DFT (GGA-PBE) results for crystalline HPtI2Br at its relaxed geometry.

Geometry as CIF:
```
data_HPtI2Br
_chemical_formula_sum 'H1 Pt1 I2 Br1'
_cell_length_a 7.100
_cell_length_b 3.072
_cell_length_c 7.100
_cell_angle_alpha 90.00
_cell_angle_beta 90.00
_cell_angle_gamma 90.00
_symmetry_space_group_name_H-M 'P 1'
_symmetry_Int_Tables_number 1
_symmetry_space_group_name_Hall 'P 1'
loop_
_atom_site_label
_atom_site_type_symbol
_atom_site_fract_x
_atom_site_fract_y
_atom_site_fract_z
I1 I 0.000 0.000 0.500
Pt1 Pt 0.500 0.500 0.500
Br1 Br 0.000 0.000 0.000
H1 H 0.000 0.500 0.000
I2 I 0.500 0.000 0.000
```

**Symmetry**: No. 123
**Raw total energy**: -1.966 eV per atom
**Total magnetic moment**: 0.590 Bohr magnetons per cell


# 4
DFT (GGA-PBE) results for crystalline PuHIBr at its relaxed geometry.

Geometry as CIF:
```
data_PuHIBr
_chemical_formula_sum 'Pu1 H1 I1 Br1'
_cell_length_a 3.980
_cell_length_b 3.980
_cell_length_c 8.067
_cell_angle_alpha 90.06
_cell_angle_beta 104.22
_cell_angle_gamma 120.00
_symmetry_space_group_name_H-M 'P 1'
_symmetry_Int_Tables_number 1
_symmetry_space_group_name_Hall 'P 1'
loop_
_atom_site_label
_atom_site_type_symbol
_atom_site_fract_x
_atom_site_fract_y
_atom_site_fract_z
Br1 Br 0.002 0.865 0.868
Pu1 Pu 0.500 0.614 0.114
I1 I 0.353 0.042 0.394
H1 H 0.837 0.283 0.121
```

**Symmetry**: No. 8
**Raw total energy**: -6.276 eV per atom
**Total magnetic moment**: 5.000 Bohr magnetons per cell


# 5
DFT (GGA-PBE) results for crystalline Rb8HI4Br3 at its relaxed geometry.

Geometry as CIF:
```
data_Rb8HI4Br3
_chemical_formula_sum 'Rb8 H1 I4 Br3'
_cell_length_a 10.112
_cell_length_b 10.167
_cell_length_c 10.115
_cell_angle_alpha 119.83
_cell_angle_beta 119.99
_cell_angle_gamma 90.00
_symmetry_space_group_name_H-M 'P 1'
_symmetry_Int_Tables_number 1
_symmetry_space_group_name_Hall 'P 1'
loop_
_atom_site_label
_atom_site_type_symbol
_atom_site_fract_x
_atom_site_fract_y
_atom_site_fract_z
Br1 Br 0.500 0.500 0.000
Rb1 Rb 0.744 0.733 0.489
Rb2 Rb 0.256 0.267 0.511
I1 I 0.000 0.000 0.500
Br2 Br 0.000 0.500 0.500
Rb3 Rb 0.238 0.727 0.475
I2 I 0.500 0.000 0.500
Rb4 Rb 0.247 0.274 0.010
Rb5 Rb 0.237 0.726 0.990
Rb6 Rb 0.753 0.726 0.990
Rb7 Rb 0.762 0.273 0.525
Rb8 Rb 0.763 0.274 0.010
Br3 Br 0.500 0.500 0.500
H1 H 0.000 0.500 0.000
I3 I 0.500 0.000 0.000
I4 I 0.000 0.000 0.000
```

**Symmetry**: No. 12
**Raw total energy**: -2.800 eV per atom
**Total magnetic moment**: 0.066 Bohr magnetons per cell


# 6
DFT (GGA-PBE) results for crystalline Rb4HI2Br at its relaxed geometry.

Geometry as CIF:
```
data_Rb4HI2Br
_chemical_formula_sum 'Rb8 H2 I4 Br2'
_cell_length_a 10.000
_cell_length_b 10.000
_cell_length_c 10.044
_cell_angle_alpha 120.12
_cell_angle_beta 120.12
_cell_angle_gamma 89.85
_symmetry_space_group_name_H-M 'P 1'
_symmetry_Int_Tables_number 1
_symmetry_space_group_name_Hall 'P 1'
loop_
_atom_site_label
_atom_site_type_symbol
_atom_site_fract_x
_atom_site_fract_y
_atom_site_fract_z
Rb1 Rb 0.255 0.723 0.489
Br1 Br 0.000 0.500 0.000
I1 I 0.500 0.000 0.000
Rb2 Rb 0.244 0.254 0.023
Br2 Br 0.000 0.500 0.500
Rb3 Rb 0.756 0.746 0.977
Rb4 Rb 0.223 0.755 0.989
Rb5 Rb 0.777 0.245 0.011
H1 H 0.500 0.500 0.500
I2 I 0.500 0.000 0.500
Rb6 Rb 0.745 0.277 0.511
Rb7 Rb 0.754 0.744 0.523
Rb8 Rb 0.246 0.256 0.477
I3 I 0.500 0.500 0.000
I4 I 0.000 0.000 0.500
H2 H 0.000 0.000 0.000
```

**Symmetry**: No. 15
**Raw total energy**: -2.694 eV per atom
**Total magnetic moment**: 0.101 Bohr magnetons per cell


# 7
DFT (GGA-PBE) results for crystalline Rb4HIBr2 at its relaxed geometry.

Geometry as CIF:
```
data_Rb4HIBr2
_chemical_formula_sum 'Rb8 H2 I2 Br4'
_cell_length_a 9.890
_cell_length_b 9.890
_cell_length_c 9.900
_cell_angle_alpha 120.02
_cell_angle_beta 120.02
_cell_angle_gamma 89.85
_symmetry_space_group_name_H-M 'P 1'
_symmetry_Int_Tables_number 1
_symmetry_space_group_name_Hall 'P 1'
loop_
_atom_site_label
_atom_site_type_symbol
_atom_site_fract_x
_atom_site_fract_y
_atom_site_fract_z
Rb1 Rb 0.751 0.226 0.989
Br1 Br 0.000 0.000 0.500
Br2 Br 0.500 0.000 0.500
H1 H 0.500 0.500 0.500
Rb2 Rb 0.257 0.246 0.491
Rb3 Rb 0.254 0.243 0.009
H2 H 0.000 0.000 0.000
Rb4 Rb 0.274 0.749 0.511
Rb5 Rb 0.743 0.754 0.509
Rb6 Rb 0.249 0.774 0.011
Br3 Br 0.500 0.500 0.000
Br4 Br 0.500 0.000 0.000
I1 I 0.000 0.500 0.000
Rb7 Rb 0.746 0.757 0.991
Rb8 Rb 0.726 0.251 0.489
I2 I 0.000 0.500 0.500
```

**Symmetry**: No. 15
**Raw total energy**: -2.766 eV per atom
**Total magnetic moment**: 0.090 Bohr magnetons per cell


# 8
DFT (GGA-PBE) results for crystalline RbHIBr6 at its relaxed geometry.

Geometry as CIF:
```
data_RbHIBr6
_chemical_formula_sum 'Rb1 H1 I1 Br6'
_cell_length_a 7.452
_cell_length_b 8.788
_cell_length_c 8.145
_cell_angle_alpha 100.51
_cell_angle_beta 80.85
_cell_angle_gamma 50.49
_symmetry_space_group_name_H-M 'P 1'
_symmetry_Int_Tables_number 1
_symmetry_space_group_name_Hall 'P 1'
loop_
_atom_site_label
_atom_site_type_symbol
_atom_site_fract_x
_atom_site_fract_y
_atom_site_fract_z
I1 I 0.312 0.361 0.470
Rb1 Rb 0.122 0.964 0.134
Br1 Br 0.994 0.713 0.762
Br2 Br 0.611 0.981 0.189
Br3 Br 0.515 0.485 0.206
H1 H 0.540 0.799 0.588
Br4 Br 0.289 0.002 0.703
Br5 Br 0.690 0.218 0.584
Br6 Br 0.927 0.479 0.365
```

**Symmetry**: No. 1
**Raw total energy**: -2.154 eV per atom
**Total magnetic moment**: 1.015 Bohr magnetons per cell